! GGA-PBE AcLaRuRh, relaxed; values from VASP
&SYSTEM
  ibrav = 0, nat = 4, ntyp = 4
/
ATOMIC_SPECIES
La 138.91 La.upf
Ac 227.00 Ac.upf
Rh 102.91 Rh.upf
Ru 101.07 Ru.upf
CELL_PARAMETERS angstrom
5.147 0.000 0.000
2.573 4.457 0.000
2.573 1.486 4.202
ATOMIC_POSITIONS crystal
La 0.250 0.250 0.250
Ac 0.750 0.750 0.750
Rh 0.500 0.500 0.500
Ru 0.000 0.000 0.000
! Formation energy from the elements, eV/f.u.: -1.07



! GGA-PBE Ac2La2RuRh2, relaxed; values from VASP
&SYSTEM
  ibrav = 0, nat = 7, ntyp = 4
/
ATOMIC_SPECIES
Rh 102.91 Rh.upf
La 138.91 La.upf
Ac 227.00 Ac.upf
Ru 101.07 Ru.upf
CELL_PARAMETERS angstrom
4.088 0.000 0.000
2.044 7.578 0.010
2.044 2.899 6.608
ATOMIC_POSITIONS crystal
Rh 0.881 0.536 0.702
Rh 0.119 0.464 0.298
La 0.217 0.720 0.846
La 0.783 0.280 0.154
Ac 0.464 0.766 0.306
Ac 0.536 0.234 0.694
Ru 0.000 0.000 0.000
! Formation energy from the elements, eV/f.u.: -3.11



! GGA-PBE AcLaRhS, relaxed; values from VASP
&SYSTEM
  ibrav = 0, nat = 4, ntyp = 4
/
ATOMIC_SPECIES
La 138.91 La.upf
Ac 227.00 Ac.upf
Rh 102.91 Rh.upf
S 32.06 S.upf
CELL_PARAMETERS angstrom
4.160 0.000 0.000
-2.079 3.603 0.000
-2.079 -1.201 7.540
ATOMIC_POSITIONS crystal
La 0.483 0.140 0.638
Ac 0.122 0.959 0.097
Rh 0.297 0.547 0.859
S 0.975 0.385 0.375
! Energy relative to the elements, uncorrected, eV per formula unit: -5.02



What are the magnetic moment values for these records? In order: 0.00; 0.00; 0.00 μB/atom.
What are the E values for these records? In order: -0.2456; -0.2371; -0.2346 Ha/atom.